A plane-wave DFT calculation with GGA-PBE was carried out for crystalline Na2PrGeO4 at its relaxed geometry.

Cell and atoms, written as CIF:
```
data_Na2PrGeO4
_chemical_formula_sum 'Na8 Pr4 Ge4 O16'
_space_group_name_H-M_alt 'C m c m'
_space_group_IT_number 63
_space_group_name_Hall '-C 2c 2'
_cell_length_a 3.686
_cell_length_b 11.254
_cell_length_c 10.957
_cell_angle_alpha 90.00
_cell_angle_beta 90.00
_cell_angle_gamma 90.00
loop_
_atom_site_label
_atom_site_fract_x
_atom_site_fract_y
_atom_site_fract_z
_atom_site_occupancy
Na1 0.000 0.120 0.037 1
Pr1 0.000 0.412 0.250 1
Ge1 0.000 0.323 0.750 1
O1 0.000 0.104 0.250 1
O2 0.000 0.205 0.638 1
O3 0.000 0.500 0.000 1
```

Calculated values
DOS at the Fermi energy: 3.6 states/eV per cell
formation energy (no corrections): -1797 meV per atom

---

A plane-wave DFT calculation with GGA-PBE was carried out for crystalline Li2AlTl at its relaxed geometry.

Cell and atoms, written as CIF:
```
data_Li2AlTl
_chemical_formula_sum 'Li6 Al3 Tl3'
_space_group_name_H-M_alt 'R 3 m'
_space_group_IT_number 160
_space_group_name_Hall 'R 3 -2"'
_cell_length_a 3.2654
_cell_length_b 3.2654
_cell_length_c 28.0488
_cell_angle_alpha 90.00
_cell_angle_beta 90.00
_cell_angle_gamma 120.00
loop_
_atom_site_label
_atom_site_fract_x
_atom_site_fract_y
_atom_site_fract_z
_atom_site_occupancy
Li1 0.0000 0.0000 0.0000 1
Li2 0.0000 0.0000 0.2438 1
Al1 0.0000 0.0000 0.5009 1
Tl1 0.0000 0.0000 0.7490 1
```

Calculated values
DOS at the Fermi energy: 4.1 states/eV per cell
formation energy from the elements: 0.047 eV per atom

---

Number 1: VASP energy -184.98 eV per cell. Number 2: VASP energy -29.24 eV per cell.